Density functional theory data (PBE) for AlAg2Hg after structural relaxation.

a = 5.0782 Å, b = 5.0782 Å, c = 5.0782 Å
α = 130.45°, β = 130.45°, γ = 72.70°
Closest atoms and distances in Å follow each position.
Fractional coordinates of all 4 atoms:
Al1 0.0000 0.0000 0.0000  4 Hg 2.95, 8 Ag 2.95-3.01
Ag1 0.5000 0.5000 0.0000  4 Hg 2.95, 4 Ag 2.95, 4 Al 3.01
Ag2 0.7500 0.2500 0.5000  4 Al 2.95, 4 Ag 2.95, 4 Hg 3.01
Hg1 0.2500 0.7500 0.5000  4 Al 2.95, 8 Ag 2.95-3.01

Energy relative to the elements in eV per atom: 0.068
ΔE to the lowest computed polymorph in meV per atom: 45
Symmetry: I-4m2, No. 119
V in Å³/atom: 18.53
Total magnetic moment in μB per cell: 0.00
Total DFT energy (no corrections) in eV per atom: -2.37